# Y5U2O12 | Alexandria via LeMat-Bulk | PBE-GGA | relaxed
# crystal system: monoclinic
# density of states at the Fermi level: 3.85 states/eV/cell
# raw formation energy: -3.33 eV/atom
# relative energy among the computed polymorphs: 160 meV per atom
# total energy: -177.651 eV per formula unit
data_Y5U2O12
_chemical_formula_sum 'Y10 U4 O24'
_space_group_name_H-M_alt 'C 1 2/m 1'
_space_group_IT_number 12
_space_group_name_Hall '-C 2y'
_cell_length_a 12.530
_cell_length_b 6.133
_cell_length_c 7.773
_cell_angle_alpha 90.00
_cell_angle_beta 107.93
_cell_angle_gamma 90.00
loop_
_atom_site_label
_atom_site_fract_x
_atom_site_fract_y
_atom_site_fract_z
Y1 0.000 0.000 0.000
Y2 0.189 0.500 0.304
Y3 0.203 0.500 0.865
U1 0.000 0.225 0.500
O1 0.005 0.500 0.316
O2 0.014 0.000 0.289
O3 0.153 0.255 0.065
O4 0.175 0.265 0.604

***

# Y3U2O10 | Alexandria via LeMat-Bulk | PBE-GGA | relaxed
# crystal system: monoclinic
# density of states at the Fermi level: 7.48 states/eV/cell
# raw formation energy: -3.44 eV/atom
# total energy: -143.212 eV per formula unit
data_Y3U2O10
_chemical_formula_sum 'Y6 U4 O20'
_space_group_name_H-M_alt 'C 1 2/m 1'
_space_group_IT_number 12
_space_group_name_Hall '-C 2y'
_cell_length_a 11.768
_cell_length_b 5.364
_cell_length_c 8.359
_cell_angle_alpha 90.00
_cell_angle_beta 133.07
_cell_angle_gamma 90.00
loop_
_atom_site_label
_atom_site_fract_x
_atom_site_fract_y
_atom_site_fract_z
Y1 0.000 0.000 0.000
Y2 0.102 0.500 0.404
U1 0.197 0.000 0.794
O1 0.000 0.233 0.500
O2 0.105 0.249 0.894
O3 0.204 0.258 0.291

***

# YU2O6 | Alexandria via LeMat-Bulk | PBE-GGA | relaxed
# crystal system: trigonal
# density of states at the Fermi level: 8.35 states/eV/cell
# raw formation energy: -3.40 eV/atom
# total energy: -89.393 eV per formula unit
data_YU2O6
_chemical_formula_sum 'Y1 U2 O6'
_space_group_name_H-M_alt 'P -3 m 1'
_space_group_IT_number 164
_space_group_name_Hall '-P 3 2"'
_cell_length_a 3.8406
_cell_length_b 3.8406
_cell_length_c 9.2140
_cell_angle_alpha 90.00
_cell_angle_beta 90.00
_cell_angle_gamma 120.00
loop_
_atom_site_label
_atom_site_fract_x
_atom_site_fract_y
_atom_site_fract_z
Y1 0.0000 0.0000 0.0000
U1 0.3333 0.6667 0.6703
O1 0.0000 0.0000 0.2613
O2 0.3333 0.6667 0.4194
O3 0.3333 0.6667 0.9049

***

# Y3UO8 | Alexandria via LeMat-Bulk | PBE-GGA | relaxed
# crystal system: cubic
# density of states at the Fermi level: 7.99 states/eV/cell
# raw formation energy: -3.26 eV/atom
# total energy: -109.417 eV per formula unit
data_Y3UO8
_chemical_formula_sum 'Y3 U1 O8'
_space_group_name_H-M_alt 'P m -3 m'
_space_group_IT_number 221
_space_group_name_Hall '-P 4 2 3'
_cell_length_a 5.372
_cell_length_b 5.372
_cell_length_c 5.372
_cell_angle_alpha 90.00
_cell_angle_beta 90.00
_cell_angle_gamma 90.00
loop_
_atom_site_label
_atom_site_fract_x
_atom_site_fract_y
_atom_site_fract_z
Y1 0.000 0.000 0.500
U1 0.500 0.500 0.500
O1 0.260 0.260 0.260

***

# YUO5 | Alexandria via LeMat-Bulk | PBE-GGA | relaxed
# crystal system: orthorhombic
# density of states at the Fermi level: 4.66 states/eV/cell
# raw formation energy: -2.70 eV/atom
# total energy: -61.468 eV per formula unit
data_YUO5
_chemical_formula_sum 'Y2 U2 O10'
_space_group_name_H-M_alt 'I m m m'
_space_group_IT_number 71
_space_group_name_Hall '-I 2 2'
_cell_length_a 4.089
_cell_length_b 6.787
_cell_length_c 8.481
_cell_angle_alpha 90.00
_cell_angle_beta 90.00
_cell_angle_gamma 90.00
loop_
_atom_site_label
_atom_site_fract_x
_atom_site_fract_y
_atom_site_fract_z
Y1 0.000 0.000 0.000
U1 0.000 0.000 0.500
O1 0.000 0.000 0.281
O2 0.000 0.330 0.000
O3 0.000 0.500 0.500

***

# YU2O7 | Alexandria via LeMat-Bulk | PBE-GGA | relaxed
# crystal system: trigonal
# density of states at the Fermi level: 20.96 states/eV/cell
# raw formation energy: -3.27 eV/atom
# total energy: -96.492 eV per formula unit
data_YU2O7
_chemical_formula_sum 'Y3 U6 O21'
_space_group_name_H-M_alt 'R -3 m'
_space_group_IT_number 166
_space_group_name_Hall '-R 3 2"'
_cell_length_a 3.8336
_cell_length_b 3.8336
_cell_length_c 30.6814
_cell_angle_alpha 90.00
_cell_angle_beta 90.00
_cell_angle_gamma 120.00
loop_
_atom_site_label
_atom_site_fract_x
_atom_site_fract_y
_atom_site_fract_z
Y1 0.0000 0.0000 0.0000
U1 0.0000 0.0000 0.4323
O1 0.0000 0.0000 0.0771
O2 0.0000 0.0000 0.2202
O3 0.0000 0.0000 0.3621
O4 0.0000 0.0000 0.5000

***

# Y5U2O12 | Alexandria via LeMat-Bulk | PBE-GGA | relaxed
# crystal system: triclinic
# density of states at the Fermi level: 15.96 states/eV/cell
# raw formation energy: -3.49 eV/atom
# relative energy among the computed polymorphs: 0 meV per atom
# total energy: -180.698 eV per formula unit
data_Y5U2O12
_chemical_formula_sum 'Y15 U6 O36'
_space_group_name_H-M_alt 'P 1'
_space_group_IT_number 1
_space_group_name_Hall 'P 1'
_cell_length_a 6.582
_cell_length_b 6.626
_cell_length_c 19.593
_cell_angle_alpha 96.79
_cell_angle_beta 97.10
_cell_angle_gamma 99.33
loop_
_atom_site_label
_atom_site_fract_x
_atom_site_fract_y
_atom_site_fract_z
Y1 0.000 0.000 0.000
Y2 0.001 0.524 0.085
Y3 0.071 0.426 0.902
Y4 0.147 0.434 0.694
Y5 0.214 0.872 0.595
Y6 0.216 0.328 0.513
Y7 0.332 0.330 0.334
Y8 0.333 0.856 0.419
Y9 0.402 0.756 0.235
Y10 0.550 0.667 0.846
Y11 0.556 0.206 0.929
Y12 0.670 0.203 0.753
Y13 0.737 0.094 0.567
Y14 0.884 0.998 0.179
Y15 0.889 0.537 0.262
U1 0.112 0.933 0.798
U2 0.443 0.261 0.133
U3 0.479 0.765 0.029
U4 0.668 0.662 0.666
U5 0.774 0.593 0.465
U6 0.810 0.096 0.362
O1 0.027 0.222 0.772
O2 0.070 0.739 0.190
O3 0.075 0.766 0.693
O4 0.090 0.168 0.605
O5 0.105 0.692 0.484
O6 0.108 0.168 0.113
O7 0.136 0.117 0.403
O8 0.140 0.094 0.903
O9 0.140 0.706 0.995
O10 0.192 0.647 0.826
O11 0.219 0.635 0.322
O12 0.342 0.565 0.607
O13 0.360 0.554 0.106
O14 0.402 0.069 0.525
O15 0.419 0.104 0.028
O16 0.430 0.503 0.940
O17 0.441 0.500 0.446
O18 0.444 0.031 0.816
O19 0.468 0.424 0.236
O20 0.471 0.035 0.327
O21 0.481 0.465 0.738
O22 0.526 0.968 0.156
O23 0.555 0.958 0.657
O24 0.664 0.898 0.942
O25 0.692 0.888 0.439
O26 0.738 0.408 0.858
O27 0.750 0.433 0.360
O28 0.761 0.834 0.273
O29 0.774 0.360 0.150
O30 0.779 0.835 0.781
O31 0.781 0.371 0.658
O32 0.803 0.762 0.571
O33 0.803 0.785 0.069
O34 0.858 0.301 0.489
O35 0.888 0.303 0.988
O36 0.998 0.228 0.275

***

# Y4UO10 | Alexandria via LeMat-Bulk | PBE-GGA | relaxed
# crystal system: tetragonal
# density of states at the Fermi level: 22.03 states/eV/cell
# raw formation energy: -3.14 eV/atom
# total energy: -133.874 eV per formula unit
data_Y4UO10
_chemical_formula_sum 'Y8 U2 O20'
_space_group_name_H-M_alt 'I 4/m'
_space_group_IT_number 87
_space_group_name_Hall '-I 4'
_cell_length_a 8.625
_cell_length_b 8.625
_cell_length_c 5.275
_cell_angle_alpha 90.00
_cell_angle_beta 90.00
_cell_angle_gamma 90.00
loop_
_atom_site_label
_atom_site_fract_x
_atom_site_fract_y
_atom_site_fract_z
Y1 0.099 0.300 0.000
U1 0.000 0.000 0.500
O1 0.000 0.500 0.250
O2 0.097 0.811 0.261

***

# YU2O6 | Alexandria via LeMat-Bulk | PBE-GGA | relaxed
# crystal system: orthorhombic
# density of states at the Fermi level: 22.80 states/eV/cell
# raw formation energy: -3.40 eV/atom
# total energy: -89.410 eV per formula unit
data_YU2O6
_chemical_formula_sum 'Y2 U4 O12'
_space_group_name_H-M_alt 'I m m m'
_space_group_IT_number 71
_space_group_name_Hall '-I 2 2'
_cell_length_a 3.825
_cell_length_b 5.388
_cell_length_c 11.364
_cell_angle_alpha 90.00
_cell_angle_beta 90.00
_cell_angle_gamma 90.00
loop_
_atom_site_label
_atom_site_fract_x
_atom_site_fract_y
_atom_site_fract_z
Y1 0.000 0.000 0.000
U1 0.000 0.000 0.335
O1 0.000 0.241 0.500
O2 0.000 0.254 0.170

***

# YZrUO6 | Alexandria via LeMat-Bulk | PBE-GGA | relaxed
# crystal system: trigonal
# raw formation energy: -3.23 eV/atom
# total energy: -85.088 eV per formula unit
data_YZrUO6
_chemical_formula_sum 'Y2 Zr2 U2 O12'
_space_group_name_H-M_alt 'P -3 1 c'
_space_group_IT_number 163
_space_group_name_Hall '-P 3 2c'
_cell_length_a 5.6777
_cell_length_b 5.6777
_cell_length_c 9.1559
_cell_angle_alpha 90.00
_cell_angle_beta 90.00
_cell_angle_gamma 120.00
loop_
_atom_site_label
_atom_site_fract_x
_atom_site_fract_y
_atom_site_fract_z
Y1 0.3333 0.6667 0.2500
Zr1 0.0000 0.0000 0.0000
U1 0.3333 0.6667 0.7500
O1 0.0175 0.3310 0.6273

***

# Yb6U3O17 | Alexandria via LeMat-Bulk | PBE-GGA | relaxed
# crystal system: monoclinic
# density of states at the Fermi level: 111.63 states/eV/cell
# raw formation energy: -3.09 eV/atom
# total energy: -207.611 eV per formula unit
data_Yb6U3O17
_chemical_formula_sum 'Yb12 U6 O34'
_space_group_name_H-M_alt 'C 1 2 1'
_space_group_IT_number 5
_space_group_name_Hall 'C 2y'
_cell_length_a 12.091
_cell_length_b 5.355
_cell_length_c 11.241
_cell_angle_alpha 90.00
_cell_angle_beta 108.65
_cell_angle_gamma 90.00
loop_
_atom_site_label
_atom_site_fract_x
_atom_site_fract_y
_atom_site_fract_z
Yb1 0.002 0.000 0.175
Yb2 0.166 0.503 0.386
Yb3 0.175 0.450 0.058
U1 0.000 0.980 0.500
U2 0.173 0.479 0.731
O1 0.000 0.228 0.000
O2 0.002 0.232 0.348
O3 0.009 0.735 0.658
O4 0.157 0.707 0.885
O5 0.157 0.739 0.205
O6 0.159 0.772 0.550
O7 0.166 0.231 0.872
O8 0.170 0.267 0.572
O9 0.182 0.216 0.233

***

# UZnO4 | Alexandria via LeMat-Bulk | PBE-GGA | relaxed
# crystal system: monoclinic
# density of states at the Fermi level: 0.00 states/eV/cell
# raw formation energy: -2.49 eV/atom
# total energy: -47.341 eV per formula unit
data_UZnO4
_chemical_formula_sum 'U2 Zn2 O8'
_space_group_name_H-M_alt 'P 1 21/c 1'
_space_group_IT_number 14
_space_group_name_Hall '-P 2ybc'
_cell_length_a 5.743
_cell_length_b 5.043
_cell_length_c 6.190
_cell_angle_alpha 90.00
_cell_angle_beta 114.96
_cell_angle_gamma 90.00
loop_
_atom_site_label
_atom_site_fract_x
_atom_site_fract_y
_atom_site_fract_z
U1 0.000 0.000 0.000
Zn1 0.500 0.000 0.500
O1 0.159 0.193 0.348
O2 0.323 0.693 0.622

***

# ZrUO4 | Alexandria via LeMat-Bulk | PBE-GGA | relaxed
# crystal system: trigonal
# density of states at the Fermi level: 26.45 states/eV/cell
# raw formation energy: -3.23 eV/atom
# total energy: -59.037 eV per formula unit
data_ZrUO4
_chemical_formula_sum 'Zr3 U3 O12'
_space_group_name_H-M_alt 'R -3 m'
_space_group_IT_number 166
_space_group_name_Hall '-R 3 2"'
_cell_length_a 3.7599
_cell_length_b 3.7599
_cell_length_c 18.1634
_cell_angle_alpha 90.00
_cell_angle_beta 90.00
_cell_angle_gamma 120.00
loop_
_atom_site_label
_atom_site_fract_x
_atom_site_fract_y
_atom_site_fract_z
Zr1 0.0000 0.0000 0.0000
U1 0.0000 0.0000 0.5000
O1 0.0000 0.0000 0.1217
O2 0.0000 0.0000 0.3712

***

# ZrUO5 | Alexandria via LeMat-Bulk | PBE-GGA | relaxed
# crystal system: orthorhombic
# raw formation energy: -3.07 eV/atom
# total energy: -66.090 eV per formula unit
data_ZrUO5
_chemical_formula_sum 'Zr2 U2 O10'
_space_group_name_H-M_alt 'I m m m'
_space_group_IT_number 71
_space_group_name_Hall '-I 2 2'
_cell_length_a 3.932
_cell_length_b 6.707
_cell_length_c 8.229
_cell_angle_alpha 90.00
_cell_angle_beta 90.00
_cell_angle_gamma 90.00
loop_
_atom_site_label
_atom_site_fract_x
_atom_site_fract_y
_atom_site_fract_z
Zr1 0.000 0.000 0.000
U1 0.000 0.000 0.500
O1 0.000 0.000 0.271
O2 0.000 0.316 0.000
O3 0.000 0.500 0.500